1.
A relaxed Gd3Co5H12 crystal, computed with PBE.

Cell lengths 11.1661, 11.1661, 11.1661 Å; angles 90.00, 90.00, 90.00 degrees
Last column: nearest neighbours and their distance in Å.
Space group Ia-3d (No. 230)
One atom of each set of equivalent atoms:
Gd 0.0000 0.2500 0.1250 [24 per cell]  8 H 2.27-2.32
Co 0.0000 0.0000 0.0000 [16 per cell]  6 H 1.67
Co 0.0000 0.2500 0.3750 [24 per cell]  4 H 1.67
H 0.0382 0.0464 0.6373 [96 per cell]  2 Co 1.67

Calculated values
Calculated total energy: -977.38 eV for the cell shown
Calculated volume: 1392 Å³/cell

***

2.
A relaxed Gd2CoH crystal, computed with PBE.

Cell lengths 3.7945, 3.7945, 18.0837 Å; angles 90.00, 90.00, 120.00 degrees
Last column: nearest neighbours and their distance in Å.
Space group R-3m (No. 166, hexagonal axes)
One atom of each set of equivalent atoms:
Gd 0.0000 0.0000 0.2468 [6 per cell]  3 H 2.63, 3 Co 2.69
Co 0.0000 0.0000 0.0000 [3 per cell]  6 Gd 2.69
H 0.0000 0.0000 0.5000 [3 per cell]  6 Gd 2.63

Calculated values
Calculated total energy: -118.48 eV for the cell shown
Calculated volume: 225 Å³/cell
Offset from the most stable computed form: 0 meV per atom

***

3.
A relaxed GdHfCo4 crystal, computed with PBE.

Cell lengths 7.0294, 7.0294, 7.0294 Å; angles 90.00, 90.00, 90.00 degrees
Last column: nearest neighbours and their distance in Å.
Space group F-43m (No. 216)
One atom of each set of equivalent atoms:
Gd 0.0000 0.0000 0.0000 [4 per cell]  12 Co 2.92, 4 Hf 3.04
Hf 0.2500 0.2500 0.2500 [4 per cell]  12 Co 2.91, 4 Gd 3.04
Co 0.1242 0.1242 0.6242 [16 per cell]  6 Co 2.47-2.50

Calculated values
Energy of formation: -0.22 eV per atom
Calculated total energy: -215.01 eV for the cell shown
Calculated volume: 347 Å³/cell

***

4.
A relaxed GdHfCo2 crystal, computed with PBE.

Cell lengths 3.2122, 3.2122, 6.6746 Å; angles 90.00, 90.00, 90.00 degrees
Last column: nearest neighbours and their distance in Å.
Space group P4/mmm (No. 123)
One atom of each set of equivalent atoms:
Gd 0.0000 0.0000 0.0000 [1 per cell]  8 Co 2.96, 4 Gd 3.21
Hf 0.0000 0.0000 0.5000 [1 per cell]  8 Co 2.69
Co 0.5000 0.5000 0.2842 [2 per cell]  4 Hf 2.69, 1 Co 2.88, 4 Gd 2.96

Calculated values
Energy of formation: -0.26 eV per atom
Calculated total energy: -39.28 eV for the cell shown
Calculated volume: 69 Å³/cell
Offset from the most stable computed form: 0 meV per atom

***

5.
A relaxed GdHfCo2 crystal, computed with PBE.

Cell lengths 6.5272, 6.5272, 6.5272 Å; angles 90.00, 90.00, 90.00 degrees
Last column: nearest neighbours and their distance in Å.
Space group Fm-3m (No. 225)
One atom of each set of equivalent atoms:
Gd 0.0000 0.0000 0.0000 [4 per cell]  8 Co 2.83
Hf 0.0000 0.0000 0.5000 [4 per cell]  8 Co 2.83
Co 0.2500 0.2500 0.2500 [8 per cell]  4 Hf 2.83, 4 Gd 2.83

Calculated values
Energy of formation: -0.17 eV per atom
Calculated total energy: -155.70 eV for the cell shown
Calculated volume: 278 Å³/cell
Offset from the most stable computed form: 89 meV per atom

***

6.
A relaxed GdHf2Co crystal, computed with PBE.

Cell lengths 3.3000, 3.3000, 29.3906 Å; angles 90.00, 90.00, 120.00 degrees
Last column: nearest neighbours and their distance in Å.
Space group R-3m (No. 166, hexagonal axes)
One atom of each set of equivalent atoms:
Gd 0.0000 0.0000 0.0000 [3 per cell]  2 Hf 3.25, 6 Gd 3.30
Hf 0.0000 0.0000 0.1106 [6 per cell]  3 Co 2.52
Co 0.0000 0.0000 0.5000 [3 per cell]  6 Hf 2.52

Calculated values
Energy of formation: 0.23 eV per atom
Calculated total energy: -120.58 eV for the cell shown
Calculated volume: 277 Å³/cell

***

7.
A relaxed Gd2HfCo crystal, computed with PBE.

Cell lengths 3.3375, 3.3375, 30.3414 Å; angles 90.00, 90.00, 120.00 degrees
Last column: nearest neighbours and their distance in Å.
Space group R-3m (No. 166, hexagonal axes)
One atom of each set of equivalent atoms:
Gd 0.0000 0.0000 0.1052 [6 per cell]  3 Co 2.68
Hf 0.0000 0.0000 0.0000 [3 per cell]  2 Gd 3.19, 6 Hf 3.34
Co 0.0000 0.0000 0.5000 [3 per cell]  6 Gd 2.68

Calculated values
Energy of formation: 0.41 eV per atom
Calculated total energy: -130.72 eV for the cell shown
Calculated volume: 293 Å³/cell

***

8.
A relaxed GdHfCoIr crystal, computed with PBE.

Cell lengths 6.6548, 6.6548, 6.6548 Å; angles 90.00, 90.00, 90.00 degrees
Last column: nearest neighbours and their distance in Å.
Space group F-43m (No. 216)
One atom of each set of equivalent atoms:
Gd 0.0000 0.0000 0.0000 [4 per cell]  4 Co 2.88, 4 Ir 2.88
Hf 0.0000 0.0000 0.5000 [4 per cell]  4 Co 2.88, 4 Ir 2.88
Co 0.2500 0.2500 0.2500 [4 per cell]  4 Hf 2.88, 4 Gd 2.88
Ir 0.2500 0.2500 0.7500 [4 per cell]  4 Hf 2.88, 4 Gd 2.88

Calculated values
Energy of formation: -0.48 eV per atom
Calculated total energy: -167.65 eV for the cell shown
Calculated volume: 295 Å³/cell